Entry 1:
Compound: Te2RuW
Source: Alexandria via LeMat-Bulk
Functional: PBE
Structure: relaxed

Cell lengths 8.434, 8.434, 8.434 Å; angles 22.34, 22.34, 22.34 degrees
Fractional coordinates of all 4 atoms:
Ru (0.750, 0.750, 0.750)
Te (0.499, 0.499, 0.499)
Te (0.001, 0.001, 0.001)
W (0.250, 0.250, 0.250)

Calculated values
Volume, Å³/cell: 76.06
Mass density, g/cm3: 11.792
Uncorrected formation energy, eV/atom: 0.521
Distance to the lowest polymorph of the same formula, eV per atom: 0.3656
Total energy, eV per atom: -6.6066

***

Entry 2:
Compound: Te2RuW
Source: Alexandria via LeMat-Bulk
Functional: PBE
Structure: relaxed

Cell lengths 3.279, 5.475, 4.404 Å; angles 90.00, 90.00, 90.00 degrees
Fractional coordinates of all 4 atoms:
Te (0.500, 0.500, 0.000)
Te (0.000, 0.000, 0.000)
W (0.500, 0.000, 0.500)
Ru (0.000, 0.500, 0.500)

Calculated values
Volume, Å³/cell: 79.06
Mass density, g/cm3: 11.344
Uncorrected formation energy, eV/atom: 0.994
Distance to the lowest polymorph of the same formula, eV per atom: 0.8383
Total energy, eV per atom: -6.1340

***

Entry 3:
Compound: Te2RuW
Source: Alexandria via LeMat-Bulk
Functional: PBE
Structure: relaxed

Cell lengths 5.399, 5.399, 5.399 Å; angles 144.32, 119.73, 72.05 degrees
Fractional coordinates of all 4 atoms:
Te (0.488, 0.488, 0.000)
Te (0.012, 0.012, 0.000)
W (0.750, 0.250, 0.500)
Ru (0.250, 0.750, 0.500)

Calculated values
Volume, Å³/cell: 78.32
Mass density, g/cm3: 11.451
Uncorrected formation energy, eV/atom: 0.993
Distance to the lowest polymorph of the same formula, eV per atom: 0.8367
Total energy, eV per atom: -6.1355